Record 1
Th4GaOsS2 | PBE | relaxed

## Properties
ΔE_f (raw): -1.030 eV/atom
VASP energy: -7.553 eV/atom
D(E_F): 6.5 states/eV/cell
total magnetic moment: 0.00 μB/f.u.
symmetry: P2/m

extended XYZ file:
```
8
Lattice="-0.857 2.558 -3.153 -6.920 0.362 2.176 -0.742 5.534 4.692" Properties=species:S:1:pos:R:3 pbc="T T T"
Th -5.659 4.505 5.195
Th -2.860 3.949 -1.480
Th -5.773 2.850 1.152
Th -2.745 5.604 2.563
Ga -3.831 2.948 3.434
Os -3.889 1.460 -0.488
S -0.742 5.534 4.692
S -0.800 4.046 0.770
```

***

Record 2
TiGaOs2S | PBE | relaxed

## Properties
ΔE_f (raw): 1.630 eV/atom
VASP energy: -5.872 eV/atom
D(E_F): 5.5 states/eV/cell
total magnetic moment: 1.90 μB/f.u.
symmetry: P4/mmm

extended XYZ file:
```
5
Lattice="4.534 0.000 0.000 0.000 4.728 0.000 0.000 0.000 4.534" Properties=species:S:1:pos:R:3 pbc="T T T"
S 2.267 2.364 2.267
Os 0.000 0.000 2.267
Os 2.267 0.000 0.000
Ga 0.000 0.000 0.000
Ti 0.000 2.364 0.000
```